# 1
DFT (PBE-GGA) results for a geometry-optimized VReMo2H structure.

Output
E_tot in eV/atom: -9.26

Cell lengths 4.342, 4.342, 3.314 Å; angles 90.00, 90.00, 90.00 degrees
Positions (direct):
Re: 0.500 0.500 0.500
Mo: 0.000 0.500 0.000
Mo: 0.500 0.000 0.000
H: 0.000 0.000 0.000
V: 0.000 0.000 0.500

# 2
DFT (PBE-GGA) results for a geometry-optimized V2ReMoH structure.

Output
E_tot in eV/atom: -8.98

Cell lengths 4.261, 4.261, 3.327 Å; angles 90.00, 90.00, 90.00 degrees
Positions (direct):
Re: 0.500 0.500 0.500
Mo: 0.000 0.000 0.500
H: 0.000 0.000 0.000
V: 0.000 0.500 0.000
V: 0.500 0.000 0.000

# 3
DFT (PBE-GGA) results for a geometry-optimized ReMo2HW structure.

Output
E_tot in eV/atom: -9.87
Energy above the most stable polymorph in this dataset in eV per formula unit: 0.00

Cell lengths 4.008, 4.008, 4.057 Å; angles 90.00, 90.00, 90.00 degrees
Positions (direct):
Re: 0.500 0.500 0.500
Mo: 0.000 0.500 0.000
Mo: 0.500 0.000 0.000
W: 0.000 0.000 0.500
H: 0.000 0.000 0.000

# 4
DFT (PBE-GGA) results for a geometry-optimized ReMoHW2 structure.

Output
E_tot in eV/atom: -10.26
Energy above the most stable polymorph in this dataset in eV per formula unit: 0.00

Cell lengths 4.059, 4.059, 3.979 Å; angles 90.00, 90.00, 90.00 degrees
Positions (direct):
Re: 0.500 0.500 0.500
Mo: 0.000 0.000 0.500
W: 0.000 0.500 0.000
W: 0.500 0.000 0.000
H: 0.000 0.000 0.000

# 5
DFT (PBE-GGA) results for a geometry-optimized ReMoHW2 structure.

Output
E_tot in eV/atom: -10.24
Energy above the most stable polymorph in this dataset in eV per formula unit: 0.11

Cell lengths 4.080, 4.080, 3.946 Å; angles 90.00, 90.00, 90.00 degrees
Positions (direct):
Re: 0.000 0.000 0.500
Mo: 0.500 0.500 0.500
W: 0.000 0.500 0.000
W: 0.500 0.000 0.000
H: 0.000 0.000 0.000

# 6
DFT (PBE-GGA) results for a geometry-optimized Re2MoHW structure.

Output
E_tot in eV/atom: -10.20
Energy above the most stable polymorph in this dataset in eV per formula unit: 0.11

Cell lengths 3.991, 3.991, 4.036 Å; angles 90.00, 90.00, 90.00 degrees
Positions (direct):
Re: 0.000 0.500 0.000
Re: 0.500 0.000 0.000
Mo: 0.500 0.500 0.500
W: 0.000 0.000 0.500
H: 0.000 0.000 0.000

# 7
DFT (PBE-GGA) results for a geometry-optimized Re2MoHW structure.

Output
E_tot in eV/atom: -10.22
Energy above the most stable polymorph in this dataset in eV per formula unit: 0.00

Cell lengths 3.995, 3.995, 4.022 Å; angles 90.00, 90.00, 90.00 degrees
Positions (direct):
Re: 0.000 0.500 0.000
Re: 0.500 0.000 0.000
Mo: 0.000 0.000 0.500
W: 0.500 0.500 0.500
H: 0.000 0.000 0.000

# 8
DFT (PBE-GGA) results for a geometry-optimized ReMo2HW structure.

Output
E_tot in eV/atom: -8.79
Energy above the most stable polymorph in this dataset in eV per formula unit: 5.41

Cell lengths 4.868, 3.177, 4.868 Å; angles 90.00, 90.00, 90.00 degrees
Positions (direct):
Re: 0.500 0.500 0.500
Mo: 0.000 0.000 0.500
Mo: 0.500 0.000 0.000
W: 0.000 0.000 0.000
H: 0.000 0.500 0.000

# 9
DFT (PBE-GGA) results for a geometry-optimized ReMo2HW structure.

Output
E_tot in eV/atom: -9.87
Energy above the most stable polymorph in this dataset in eV per formula unit: 0.01

Cell lengths 4.035, 4.035, 4.007 Å; angles 90.00, 90.00, 90.00 degrees
Positions (direct):
Re: 0.000 0.000 0.500
Mo: 0.000 0.500 0.000
Mo: 0.500 0.000 0.000
W: 0.500 0.500 0.500
H: 0.000 0.000 0.000

# 10
DFT (PBE-GGA) results for a geometry-optimized Mo2H2Rh structure.

Output
E_tot in eV/atom: -6.98
Energy above the most stable polymorph in this dataset in eV per formula unit: 0.99

Cell lengths 3.468, 3.468, 4.941 Å; angles 69.46, 69.46, 90.00 degrees
Positions (direct):
H: 0.750 0.250 0.500
H: 0.250 0.750 0.500
Mo: 0.344 0.344 0.311
Mo: 0.656 0.656 0.689
Rh: 0.000 0.000 0.000

# 11
DFT (PBE-GGA) results for a geometry-optimized Mo2HRh structure.

Output
E_tot in eV/atom: -8.09
Energy above the most stable polymorph in this dataset in eV per formula unit: 0.08

Cell lengths 2.819, 4.915, 7.087 Å; angles 103.29, 90.00, 90.00 degrees
Positions (direct):
Mo: 0.778 0.616 0.373
Mo: 0.278 0.116 0.373
Mo: 0.278 0.570 0.731
Mo: 0.778 0.070 0.731
H: 0.277 0.843 0.552
H: 0.777 0.343 0.552
Rh: 0.778 0.843 0.052
Rh: 0.278 0.343 0.052

# 12
DFT (PBE-GGA) results for a geometry-optimized MoH2Rh2 structure.

Output
E_tot in eV/atom: -6.33
Energy above the most stable polymorph in this dataset in eV per formula unit: 0.92

Cell lengths 6.072, 6.072, 2.823 Å; angles 90.00, 90.00, 90.00 degrees
Positions (direct):
H: 0.282 0.782 0.000
H: 0.782 0.718 0.000
H: 0.718 0.218 0.000
H: 0.218 0.282 0.000
Mo: 0.000 0.000 0.000
Mo: 0.500 0.500 0.000
Rh: 0.150 0.650 0.500
Rh: 0.650 0.850 0.500
Rh: 0.850 0.350 0.500
Rh: 0.350 0.150 0.500